[1]
{"formula": "Ba2NaTlPd", "functional": "PBE-GGA", "state": "relaxed", "cell": [[6.164, 0.000, 0.000], [0.000, 6.164, 0.000], [0.000, 0.000, 5.449]], "species": ["Ba", "Ba", "Na", "Tl", "Pd"], "fractional_positions": [[0.000, 0.500, 0.000], [0.500, 0.000, 0.000], [0.000, 0.000, 0.500], [0.500, 0.500, 0.500], [0.000, 0.000, 0.000]], "de_polymorph_ev_per_atom": 0.071, "final_energy_ev_per_cell": -13.7, "ef_ev_per_atom": -0.20, "sg": "P4/mmm", "density_kg_m3": 4880}



[2]
{"formula": "HgPb2Cl", "functional": "PBE-GGA", "state": "relaxed", "cell": [[1.742, 1.006, 10.563], [-1.742, 1.006, 10.563], [0.000, -2.011, 10.563]], "species": ["Hg", "Pb", "Pb", "Cl"], "fractional_positions": [[0.000, 0.000, 0.000], [0.244, 0.244, 0.244], [0.756, 0.756, 0.756], [0.500, 0.500, 0.500]], "de_polymorph_ev_per_atom": 0.035, "final_energy_ev_per_cell": -10.6, "sg": "R-3m", "density_kg_m3": 9728, "formation_energy_uncorrected_ev_per_atom": -0.257}